# 1
The following is a DFT calculation (PBE) of PrDy3Co8 after structural relaxation.

a = 8.846 Å, b = 8.846 Å, c = 8.846 Å
α = 33.50°, β = 33.50°, γ = 33.50°
Positions (direct):
Pr 0.000 0.000 0.000
Dy 0.375 0.375 0.375
Dy 0.500 0.500 0.500
Dy 0.875 0.875 0.875
Co 0.187 0.187 0.187
Co 0.437 0.437 0.933
Co 0.437 0.933 0.437
Co 0.443 0.937 0.937
Co 0.688 0.688 0.688
Co 0.933 0.437 0.437
Co 0.937 0.443 0.937
Co 0.937 0.937 0.443

## Properties
ρ: 9.73 Mg/m³
calculated total energy: -77.2 eV per cell
crystal system: trigonal
magnetization: 7.584 μB/f.u.



# 2
The following is a DFT calculation (PBE) of PrDyCo10 after structural relaxation.

a = 3.945 Å, b = 4.965 Å, c = 8.646 Å
α = 90.00°, β = 90.00°, γ = 90.00°
Positions (direct):
Pr 0.000 0.000 0.000
Dy 0.000 0.500 0.500
Co 0.000 0.000 0.339
Co 0.000 0.000 0.661
Co 0.000 0.500 0.176
Co 0.000 0.500 0.824
Co 0.500 0.000 0.500
Co 0.500 0.254 0.255
Co 0.500 0.254 0.745
Co 0.500 0.500 0.000
Co 0.500 0.746 0.255
Co 0.500 0.746 0.745

## Properties
ρ: 8.75 Mg/m³
calculated total energy: -81.2 eV per cell
crystal system: orthorhombic
magnetization: 14.199 μB/f.u.



# 3
The following is a DFT calculation (PBE) of PrDyCoRh after structural relaxation.

a = 6.934 Å, b = 6.934 Å, c = 6.934 Å
α = 90.00°, β = 90.00°, γ = 90.00°
Positions (direct):
Pr 0.000 0.000 0.000
Pr 0.000 0.500 0.500
Pr 0.500 0.000 0.500
Pr 0.500 0.500 0.000
Dy 0.000 0.000 0.500
Dy 0.000 0.500 0.000
Dy 0.500 0.000 0.000
Dy 0.500 0.500 0.500
Co 0.250 0.250 0.750
Co 0.250 0.750 0.250
Co 0.750 0.250 0.250
Co 0.750 0.750 0.750
Rh 0.250 0.250 0.250
Rh 0.250 0.750 0.750
Rh 0.750 0.250 0.750
Rh 0.750 0.750 0.250

## Properties
ρ: 9.27 Mg/m³
calculated total energy: -101.0 eV per cell
crystal system: cubic
magnetization: 0.624 μB/f.u.